Record 1
Density functional theory data (PBE) for a geometry-optimized BeMo2Cl structure.

```
BeMo2Cl
1.0
3.044 0.000 0.000
0.000 3.044 0.000
0.000 0.000 6.496
Be Mo Cl
1 2 1
Direct
0.000 0.000 0.000 Be
0.500 0.500 0.182 Mo
0.500 0.500 0.818 Mo
0.000 0.000 0.500 Cl
```

Calculated values
Volume   15.05 Å³/atom
Fermi-level density of states   1.66 states/eV/f.u.
Crystal system   tetragonal
E above lowest polymorph   102 meV/atom
Raw formation energy   1.29 eV/f.u.

***

Record 2
Density functional theory data (PBE) for a geometry-optimized CaCdAg2H structure.

```
CaCdAg2H
1.0
4.602 0.000 0.000
0.000 4.602 0.000
0.000 0.000 4.345
Ca Cd Ag H
1 1 2 1
Direct
0.000 0.000 0.000 Ca
0.500 0.500 0.000 Cd
0.000 0.500 0.500 Ag
0.500 0.000 0.500 Ag
0.000 0.000 0.500 H
```

Calculated values
Electronic total energy   -2.46 eV/atom
Volume   18.40 Å³/atom
Fermi-level density of states   1.86 states/eV/f.u.
Crystal system   tetragonal